Computed, not measured: a relaxed GaGeTe2 crystal at the PBE level of DFT.

symmetry	I-42d
E_tot	-3.45	eV/atom
energy above the lowest structure with this stoichiometry	164	meV/atom
V	253.3	Å³/cell
crystal system	tetragonal

abc: 7.352 7.352 6.999
angles: 58.32 58.32 90.00
Fractional coordinates of all 8 atoms:
Te: 0.621 0.125 0.250
Ga: 0.500 0.500 0.000
Ge: 0.750 0.250 0.500
Ge: 0.000 0.000 0.000
Ga: 0.250 0.750 0.500
Te: 0.375 0.379 0.750
Te: 0.129 0.625 0.250
Te: 0.875 0.871 0.750